# Sr5AlTl4 | the Alexandria database | PBE | relaxed
# - energy of formation (eV/atom) = -0.360
# - N(E_F) (states/eV/atom) = 0.671
# - spin magnetization (μB/f.u.) = 0.0
data_Sr5AlTl4
_chemical_formula_sum 'Sr5 Al1 Tl4'
_cell_length_a 4.0689
_cell_length_b 4.0689
_cell_length_c 20.3665
_cell_angle_alpha 90.00
_cell_angle_beta 90.00
_cell_angle_gamma 90.00
_space_group_name_H-M_alt 'P 4/m m m'
_space_group_IT_number 123
_space_group_name_Hall '-P 4 2'
loop_
_atom_site_label
_atom_site_fract_x
_atom_site_fract_y
_atom_site_fract_z
_atom_site_occupancy
Sr1 0.0000 0.0000 0.0000 1
Sr2 0.0000 0.0000 0.2033 1
Sr3 0.0000 0.0000 0.4062 1
Al1 0.5000 0.5000 0.5000 1
Tl1 0.5000 0.5000 0.1012 1
Tl2 0.5000 0.5000 0.3056 1